# TeAs2O2 (PBE, optimized geometry)
data_TeAs2O2
_chemical_formula_sum 'Te2 As4 O4'
_symmetry_space_group_name_H-M 'P 1'
_symmetry_Int_Tables_number 1
_symmetry_space_group_name_Hall 'P 1'
_cell_length_a 8.557
_cell_length_b 8.557
_cell_length_c 2.983
_cell_angle_alpha 90.00
_cell_angle_beta 90.00
_cell_angle_gamma 90.00
loop_
_atom_site_label
_atom_site_fract_x
_atom_site_fract_y
_atom_site_fract_z
Te1 0.000 0.000 0.000
Te2 0.500 0.500 0.000
As1 0.243 0.257 0.000
As2 0.257 0.757 0.000
As3 0.743 0.243 0.000
As4 0.757 0.743 0.000
O1 0.163 0.663 0.500
O2 0.337 0.163 0.500
O3 0.663 0.837 0.500
O4 0.837 0.337 0.500
# Formation energy from raw total energies: -0.486 eV/atom

# InFe2Mo (PBE, optimized geometry)
data_InFe2Mo
_chemical_formula_sum 'In2 Fe4 Mo2'
_symmetry_space_group_name_H-M 'P 1'
_symmetry_Int_Tables_number 1
_symmetry_space_group_name_Hall 'P 1'
_cell_length_a 5.562
_cell_length_b 5.562
_cell_length_c 5.562
_cell_angle_alpha 104.16
_cell_angle_beta 104.16
_cell_angle_gamma 120.72
loop_
_atom_site_label
_atom_site_fract_x
_atom_site_fract_y
_atom_site_fract_z
In1 0.000 0.000 0.000
In2 0.750 0.250 0.500
Fe1 0.171 0.125 0.546
Fe2 0.375 0.829 0.954
Fe3 0.579 0.625 0.454
Fe4 0.875 0.421 0.046
Mo1 0.250 0.750 0.500
Mo2 0.500 0.500 0.000
# VASP energy: -0.504 Ry/atom

# BaSb2Pb (PBE, optimized geometry)
data_BaSb2Pb
_chemical_formula_sum 'Ba1 Sb2 Pb1'
_symmetry_space_group_name_H-M 'P 1'
_symmetry_Int_Tables_number 1
_symmetry_space_group_name_Hall 'P 1'
_cell_length_a 6.063
_cell_length_b 6.063
_cell_length_c 6.063
_cell_angle_alpha 128.65
_cell_angle_beta 128.65
_cell_angle_gamma 75.58
loop_
_atom_site_label
_atom_site_fract_x
_atom_site_fract_y
_atom_site_fract_z
Ba1 0.000 0.000 0.000
Sb1 0.250 0.750 0.500
Sb2 0.750 0.250 0.500
Pb1 0.500 0.500 0.000
# Formation energy from raw total energies: -0.409 eV/atom

# Pm8Mg2Ga (PBE, optimized geometry)
data_Pm8Mg2Ga
_chemical_formula_sum 'Pm8 Mg2 Ga1'
_symmetry_space_group_name_H-M 'P 1'
_symmetry_Int_Tables_number 1
_symmetry_space_group_name_Hall 'P 1'
_cell_length_a 9.579
_cell_length_b 9.579
_cell_length_c 7.161
_cell_angle_alpha 105.84
_cell_angle_beta 105.84
_cell_angle_gamma 32.90
loop_
_atom_site_label
_atom_site_fract_x
_atom_site_fract_y
_atom_site_fract_z
Pm1 0.018 0.018 0.269
Pm2 0.196 0.196 0.779
Pm3 0.341 0.341 0.546
Pm4 0.407 0.407 0.054
Pm5 0.593 0.593 0.946
Pm6 0.659 0.659 0.454
Pm7 0.804 0.804 0.221
Pm8 0.982 0.982 0.731
Mg1 0.186 0.186 0.211
Mg2 0.814 0.814 0.789
Ga1 0.500 0.500 0.500
# VASP energy: -0.300 Ry/atom

# Cd2TcPd (PBE, optimized geometry)
data_Cd2TcPd
_chemical_formula_sum 'Cd2 Tc1 Pd1'
_symmetry_space_group_name_H-M 'P 1'
_symmetry_Int_Tables_number 1
_symmetry_space_group_name_Hall 'P 1'
_cell_length_a 4.644
_cell_length_b 4.644
_cell_length_c 4.644
_cell_angle_alpha 60.00
_cell_angle_beta 60.00
_cell_angle_gamma 60.00
loop_
_atom_site_label
_atom_site_fract_x
_atom_site_fract_y
_atom_site_fract_z
Cd1 0.250 0.250 0.250
Cd2 0.750 0.750 0.750
Tc1 0.000 0.000 0.000
Pd1 0.500 0.500 0.500
# Energy above the lowest structure with this stoichiometry: 0 meV per atom

# La2YCuO (PBE, optimized geometry)
data_La2YCuO
_chemical_formula_sum 'La2 Y1 Cu1 O1'
_symmetry_space_group_name_H-M 'P 1'
_symmetry_Int_Tables_number 1
_symmetry_space_group_name_Hall 'P 1'
_cell_length_a 5.068
_cell_length_b 5.068
_cell_length_c 4.608
_cell_angle_alpha 90.00
_cell_angle_beta 90.00
_cell_angle_gamma 90.00
loop_
_atom_site_label
_atom_site_fract_x
_atom_site_fract_y
_atom_site_fract_z
La1 0.000 0.500 0.000
La2 0.500 0.000 0.000
Y1 0.000 0.000 0.500
Cu1 0.500 0.500 0.500
O1 0.000 0.000 0.000
# Formation energy from raw total energies: -1.089 eV/atom

# Mg2TaAs (PBE, optimized geometry)
data_Mg2TaAs
_chemical_formula_sum 'Mg2 Ta1 As1'
_symmetry_space_group_name_H-M 'P 1'
_symmetry_Int_Tables_number 1
_symmetry_space_group_name_Hall 'P 1'
_cell_length_a 3.604
_cell_length_b 3.829
_cell_length_c 5.428
_cell_angle_alpha 90.00
_cell_angle_beta 90.00
_cell_angle_gamma 90.00
loop_
_atom_site_label
_atom_site_fract_x
_atom_site_fract_y
_atom_site_fract_z
Mg1 0.000 0.000 0.248
Mg2 0.000 0.000 0.752
Ta1 0.500 0.500 0.000
As1 0.500 0.500 0.500
# VASP energy: -0.352 Ry/atom

# SrHfBr2 (PBE, optimized geometry)
data_SrHfBr2
_chemical_formula_sum 'Sr2 Hf2 Br4'
_symmetry_space_group_name_H-M 'P 1'
_symmetry_Int_Tables_number 1
_symmetry_space_group_name_Hall 'P 1'
_cell_length_a 10.002
_cell_length_b 10.002
_cell_length_c 10.002
_cell_angle_alpha 149.67
_cell_angle_beta 149.67
_cell_angle_gamma 43.43
loop_
_atom_site_label
_atom_site_fract_x
_atom_site_fract_y
_atom_site_fract_z
Sr1 0.000 0.000 0.000
Sr2 0.750 0.250 0.500
Hf1 0.250 0.750 0.500
Hf2 0.500 0.500 0.000
Br1 0.176 0.625 0.051
Br2 0.375 0.426 0.551
Br3 0.574 0.125 0.949
Br4 0.875 0.824 0.449
# Formation energy from raw total energies: -0.382 eV/atom
# Energy above the lowest structure with this stoichiometry: 203 meV per atom

# Gd2ScBi (PBE, optimized geometry)
data_Gd2ScBi
_chemical_formula_sum 'Gd2 Sc1 Bi1'
_symmetry_space_group_name_H-M 'P 1'
_symmetry_Int_Tables_number 1
_symmetry_space_group_name_Hall 'P 1'
_cell_length_a 4.825
_cell_length_b 4.825
_cell_length_c 4.801
_cell_angle_alpha 90.00
_cell_angle_beta 90.00
_cell_angle_gamma 90.00
loop_
_atom_site_label
_atom_site_fract_x
_atom_site_fract_y
_atom_site_fract_z
Gd1 0.000 0.500 0.000
Gd2 0.500 0.000 0.000
Sc1 0.000 0.000 0.500
Bi1 0.500 0.500 0.500
# Energy above the lowest structure with this stoichiometry: 27 meV per atom

# HgBiTeAs2 (PBE, optimized geometry)
data_HgBiTeAs2
_chemical_formula_sum 'Hg1 Bi1 Te1 As2'
_symmetry_space_group_name_H-M 'P 1'
_symmetry_Int_Tables_number 1
_symmetry_space_group_name_Hall 'P 1'
_cell_length_a 5.515
_cell_length_b 5.515
_cell_length_c 5.584
_cell_angle_alpha 90.00
_cell_angle_beta 90.00
_cell_angle_gamma 90.00
loop_
_atom_site_label
_atom_site_fract_x
_atom_site_fract_y
_atom_site_fract_z
Hg1 0.000 0.000 0.000
Bi1 0.000 0.000 0.500
Te1 0.500 0.500 0.000
As1 0.000 0.500 0.500
As2 0.500 0.000 0.500
# Formation energy from raw total energies: 0.841 eV/atom

# Rh2AuCl (PBE, optimized geometry)
data_Rh2AuCl
_chemical_formula_sum 'Rh2 Au1 Cl1'
_symmetry_space_group_name_H-M 'P 1'
_symmetry_Int_Tables_number 1
_symmetry_space_group_name_Hall 'P 1'
_cell_length_a 4.512
_cell_length_b 2.939
_cell_length_c 5.396
_cell_angle_alpha 90.00
_cell_angle_beta 112.13
_cell_angle_gamma 90.00
loop_
_atom_site_label
_atom_site_fract_x
_atom_site_fract_y
_atom_site_fract_z
Rh1 0.000 0.000 0.000
Rh2 0.500 0.500 0.500
Au1 0.000 0.000 0.500
Cl1 0.500 0.500 0.000
# Formation energy from raw total energies: 0.550 eV/atom
# Energy above the lowest structure with this stoichiometry: 355 meV per atom

# PaHSeCl (PBE, optimized geometry)
data_PaHSeCl
_chemical_formula_sum 'Pa1 H1 Se1 Cl1'
_symmetry_space_group_name_H-M 'P 1'
_symmetry_Int_Tables_number 1
_symmetry_space_group_name_Hall 'P 1'
_cell_length_a 7.419
_cell_length_b 7.419
_cell_length_c 7.419
_cell_angle_alpha 30.53
_cell_angle_beta 30.53
_cell_angle_gamma 30.53
loop_
_atom_site_label
_atom_site_fract_x
_atom_site_fract_y
_atom_site_fract_z
Pa1 0.000 0.000 0.000
H1 0.329 0.329 0.329
Se1 0.749 0.749 0.749
Cl1 0.581 0.581 0.581
# VASP energy: -0.426 Ry/atom